The following is a PBE-GGA calculation of an optimized crystal structure of CsAsHSe, from the Alexandria database.

```
CsAsHSe
1.0
5.120 0.001 -0.007
-0.081 5.112 -0.004
-0.631 -0.810 5.257
As H Se Cs
1 1 1 1
Direct
0.934 0.059 0.269
0.114 0.316 0.308
0.910 0.028 0.702
0.424 0.547 0.857
```

Values from the calculation:
Its density of states at the Fermi level is 0.174 states/eV per atom. Its volume is 34.4 Å³/atom. The value obtained for the total magnetization is 0.000 μB/f.u. The raw total energy is -3.4311 eV/atom. The space group is No. 1.